1.
## HfAs2W (PBE)

Data for a relaxed HfAs2W crystal.

Formation energy in eV/atom: 0.38

abc: 5.499 5.499 7.563
angles: 68.68 68.68 90.00
Fractional positions:
As 0.095 0.625 0.250
As 0.375 0.345 0.750
As 0.655 0.125 0.250
As 0.875 0.905 0.750
W 0.000 0.000 0.000
W 0.750 0.250 0.500
Hf 0.250 0.750 0.500
Hf 0.500 0.500 0.000

2.
## Hf9AsW4 (PBE)

Data for a relaxed Hf9AsW4 crystal.

Formation energy in eV/atom: -0.26

abc: 8.705 8.705 8.699
angles: 90.00 90.00 120.00
Fractional positions:
Hf 0.460 0.540 0.750
Hf 0.195 0.805 0.047
Hf 0.390 0.195 0.953
Hf 0.805 0.610 0.953
Hf 0.540 0.081 0.250
Hf 0.540 0.460 0.250
Hf 0.610 0.805 0.047
Hf 0.195 0.390 0.453
Hf 0.919 0.460 0.250
Hf 0.805 0.195 0.953
Hf 0.460 0.919 0.750
Hf 0.805 0.195 0.547
Hf 0.195 0.390 0.047
Hf 0.195 0.805 0.453
Hf 0.081 0.540 0.750
Hf 0.805 0.610 0.547
Hf 0.610 0.805 0.453
Hf 0.390 0.195 0.547
As 0.333 0.667 0.250
As 0.667 0.333 0.750
W 0.110 0.890 0.750
W 0.000 0.000 0.000
W 0.780 0.890 0.750
W 0.110 0.220 0.750
W 0.890 0.780 0.250
W 0.220 0.110 0.250
W 0.000 0.000 0.500
W 0.890 0.110 0.250

3.
## HfAs3W (PBE)

Data for a relaxed HfAs3W crystal.

Formation energy in eV/atom: 0.71

abc: 4.863 4.863 4.863
angles: 90.00 90.00 90.00
Fractional positions:
As 0.000 0.000 0.500
As 0.000 0.500 0.000
As 0.500 0.000 0.000
Hf 0.500 0.500 0.500
W 0.000 0.000 0.000

4.
## Hf2AsW (PBE)

Data for a relaxed Hf2AsW crystal.

Formation energy in eV/atom: 0.35

abc: 2.992 2.992 10.189
angles: 81.56 81.56 60.00
Fractional positions:
W 0.000 0.000 0.000
As 0.500 0.500 0.500
Hf 0.910 0.910 0.271
Hf 0.090 0.090 0.729

5.
## YHfAs2W (PBE)

Data for a relaxed YHfAs2W crystal.

Formation energy in eV/atom: 0.34

abc: 4.871 5.218 4.871
angles: 90.00 90.00 90.00
Fractional positions:
Hf 0.000 0.500 0.000
W 0.000 0.000 0.000
Y 0.500 0.500 0.500
As 0.500 0.000 0.000
As 0.000 0.000 0.500

6.
## YHf2As2 (PBE)

Data for a relaxed YHf2As2 crystal.

Formation energy in eV/atom: -0.52

abc: 5.039 5.039 5.815
angles: 64.33 64.33 90.00
Fractional positions:
Hf 0.343 0.343 0.314
Hf 0.657 0.657 0.686
As 0.750 0.250 0.500
As 0.250 0.750 0.500
Y 0.000 0.000 0.000

7.
## Y2HfAs (PBE)

Data for a relaxed Y2HfAs crystal.

Formation energy in eV/atom: -0.11

abc: 8.509 8.509 6.670
angles: 50.37 50.37 90.00
Fractional positions:
Y 0.375 0.428 0.750
Y 0.572 0.125 0.250
Y 0.875 0.822 0.750
Y 0.178 0.625 0.250
Hf 0.750 0.250 0.500
Hf 0.000 0.000 0.000
As 0.500 0.500 0.000
As 0.250 0.750 0.500

8.
## YHfAs2 (PBE)

Data for a relaxed YHfAs2 crystal.

Formation energy in eV/atom: -0.68

abc: 6.275 6.275 7.568
angles: 65.51 65.51 90.00
Fractional positions:
Y 0.250 0.750 0.500
Y 0.500 0.500 0.000
As 0.097 0.625 0.250
As 0.375 0.347 0.750
As 0.653 0.125 0.250
As 0.875 0.903 0.750
Hf 0.750 0.250 0.500
Hf 0.000 0.000 0.000

9.
## YHfAs2 (PBE)

Data for a relaxed YHfAs2 crystal.

Formation energy in eV/atom: -1.18

abc: 3.897 3.897 7.178
angles: 74.25 74.25 60.00
Fractional positions:
Hf 0.670 0.670 0.989
As 0.257 0.257 0.228
As 0.076 0.076 0.772
Y 0.496 0.496 0.511

10.
## YHfAs2 (PBE)

Data for a relaxed YHfAs2 crystal.

Formation energy in eV/atom: -1.26

abc: 3.949 3.949 6.918
angles: 73.42 73.42 60.00
Fractional positions:
As 0.744 0.744 0.767
As 0.256 0.256 0.233
Y 0.500 0.500 0.500
Hf 0.000 0.000 0.000

11.
## Y5Hf3As8 (PBE)

Data for a relaxed Y5Hf3As8 crystal.

Formation energy in eV/atom: -1.33

abc: 7.990 7.990 8.020
angles: 60.13 60.13 60.00
Fractional positions:
As 0.750 0.237 0.263
As 0.250 0.250 0.737
As 0.244 0.244 0.268
As 0.756 0.756 0.732
As 0.237 0.750 0.263
As 0.250 0.763 0.737
As 0.750 0.750 0.263
As 0.763 0.250 0.737
Hf 0.000 0.000 0.500
Hf 0.000 0.500 0.500
Hf 0.500 0.000 0.500
Y 0.000 0.000 0.000
Y 0.500 0.500 0.000
Y 0.500 0.000 0.000
Y 0.000 0.500 0.000
Y 0.500 0.500 0.500

12.
## Y2HfAs2 (PBE)

Data for a relaxed Y2HfAs2 crystal.

Formation energy in eV/atom: -1.06

abc: 7.495 7.495 3.979
angles: 90.00 90.00 90.00
Fractional positions:
As 0.150 0.350 0.000
As 0.350 0.850 0.000
As 0.850 0.650 0.000
As 0.650 0.150 0.000
Y 0.659 0.841 0.500
Y 0.341 0.159 0.500
Y 0.159 0.659 0.500
Y 0.841 0.341 0.500
Hf 0.000 0.000 0.000
Hf 0.500 0.500 0.000

What did we get for DFT total energy? Answer: -7.67, -10.69, -6.66, -9.03, -7.39, -7.66, -6.99, -7.11, -7.61, -7.69, -7.54, -7.49 eV per atom, in the order shown.